No. 1
Below is crystalline Ti2InW at its relaxed geometry, with properties calculated at the PBE level.

## Properties
density of states at the Fermi level	0.778	states/eV/atom
total energy	-7.80	eV/atom
ΔE_f	67.4	meV per atom

abc: 3.0986 3.0986 26.6259
angles: 90.00 90.00 120.00
Space group R-3m (No. 166, hexagonal axes)
One atom of each set of equivalent atoms:
Ti (0.0000, 0.0000, 0.2405) x6
In (0.0000, 0.0000, 0.0000) x3
W (0.0000, 0.0000, 0.5000) x3

=====

No. 2
Below is crystalline CeHo2PuN4 at its relaxed geometry, with properties calculated at the PBE level.

## Properties
density of states at the Fermi level	1.064	states/eV/atom
total energy	-9.38	eV/atom
formation energy (no corrections)	-1.54	eV per atom

abc: 6.0355 3.4910 6.0524
angles: 90.00 109.64 90.00
Space group P2/m (No. 10)
One atom of each set of equivalent atoms:
Ce (0.0000, 0.0000, 0.0000) x1
Ho (0.0000, 0.5000, 0.5000) x1
Ho (0.5000, 0.0000, 0.5000) x1
Pu (0.5000, 0.5000, 0.0000) x1
N (0.2520, 0.5000, 0.2528) x2
N (0.2558, 0.0000, 0.7520) x2

=====

No. 3
Below is crystalline InNi2W at its relaxed geometry, with properties calculated at the PBE level.

## Properties
density of states at the Fermi level	0.810	states/eV/atom
total energy	-6.72	eV/atom
ΔE_f	93.6	meV per atom

abc: 2.8296 3.4596 6.0034
angles: 90.00 90.13 90.00
Space group P2/m (No. 10)
One atom of each set of equivalent atoms:
In (0.0000, 0.0000, 0.0000) x1
Ni (0.4993, 0.5000, 0.2812) x2
W (0.0000, 0.0000, 0.5000) x1

=====

No. 4
Below is crystalline ReTcTe at its relaxed geometry, with properties calculated at the PBE level.

## Properties
density of states at the Fermi level	0.741	states/eV/atom
total energy	-7.99	eV/atom
formation energy (no corrections)	0.66	eV per atom
energy above the most stable polymorph in this dataset	0.2379	eV/atom

abc: 3.0791 4.0718 8.1132
angles: 90.00 90.00 90.00
Space group Imm2 (No. 44)
One atom of each set of equivalent atoms:
Re (0.0000, 0.0000, 0.0000) x2
Tc (0.0000, 0.0000, 0.6497) x2
Te (0.0000, 0.0000, 0.3254) x2

=====

No. 5
Below is crystalline ScPdSeN2 at its relaxed geometry, with properties calculated at the PBE level.

## Properties
density of states at the Fermi level	0.711	states/eV/atom
total energy	-5.62	eV/atom
formation energy (no corrections)	0.71	eV per atom
energy above the most stable polymorph in this dataset	0.0000	eV/atom

abc: 3.9968 3.9968 5.0076
angles: 90.00 90.00 90.00
Space group P4/mmm (No. 123)
One atom of each set of equivalent atoms:
Sc (0.0000, 0.0000, 0.0000) x1
Pd (0.5000, 0.5000, 0.5000) x1
Se (0.5000, 0.5000, 0.0000) x1
N (0.0000, 0.5000, 0.5000) x2

=====

No. 6
Below is crystalline CaSnGe2F at its relaxed geometry, with properties calculated at the PBE level.

## Properties
density of states at the Fermi level	0.630	states/eV/atom
total energy	-3.86	eV/atom
formation energy (no corrections)	-0.44	eV per atom

abc: 5.4188 5.4188 4.3575
angles: 90.00 90.00 90.00
Space group P4/mmm (No. 123)
One atom of each set of equivalent atoms:
Ca (0.0000, 0.0000, 0.0000) x1
Sn (0.5000, 0.5000, 0.5000) x1
Ge (0.0000, 0.5000, 0.5000) x2
F (0.5000, 0.5000, 0.0000) x1

=====

No. 7
Below is crystalline HfAgPCl2 at its relaxed geometry, with properties calculated at the PBE level.

## Properties
density of states at the Fermi level	0.657	states/eV/atom
total energy	-3.86	eV/atom
formation energy (no corrections)	0.52	eV per atom
energy above the most stable polymorph in this dataset	1.0143	eV/atom

abc: 4.7403 4.7403 5.1756
angles: 90.00 90.00 90.00
Space group P4/mmm (No. 123)
One atom of each set of equivalent atoms:
Hf (0.0000, 0.0000, 0.0000) x1
Ag (0.5000, 0.5000, 0.5000) x1
P (0.5000, 0.5000, 0.0000) x1
Cl (0.0000, 0.5000, 0.5000) x2

=====

No. 8
Below is crystalline MgScPd5 at its relaxed geometry, with properties calculated at the PBE level.

## Properties
density of states at the Fermi level	0.609	states/eV/atom
total energy	-5.40	eV/atom
ΔE_f	-563.0	meV per atom

abc: 4.0115 4.0115 7.5087
angles: 90.00 90.00 90.00
Space group P4/mmm (No. 123)
One atom of each set of equivalent atoms:
Mg (0.0000, 0.0000, 0.0000) x1
Sc (0.5000, 0.5000, 0.5000) x1
Pd (0.0000, 0.0000, 0.5000) x1
Pd (0.0000, 0.5000, 0.2362) x4

=====

> Which value of density of states at the Fermi level does entry 7 give?

0.657 states/eV/atom

=====

What did the sixth record say?
Below is crystalline CaSnGe2F at its relaxed geometry, with properties calculated at the PBE level.

## Properties
density of states at the Fermi level	0.630	states/eV/atom
total energy	-3.86	eV/atom
formation energy (no corrections)	-0.44	eV per atom

abc: 5.4188 5.4188 4.3575
angles: 90.00 90.00 90.00
Space group P4/mmm (No. 123)
One atom of each set of equivalent atoms:
Ca (0.0000, 0.0000, 0.0000) x1
Sn (0.5000, 0.5000, 0.5000) x1
Ge (0.0000, 0.5000, 0.5000) x2
F (0.5000, 0.5000, 0.0000) x1

=====

> Which formula does entry 5 have?

ScPdSeN2